The following is a DFT calculation (PBE) of a relaxed Sr2AcMg2Sn2 crystal.

abc: 5.085 5.085 10.502
angles: 75.99 75.99 60.00
Sites, in units of the cell vectors:
Sr: 0.132 0.132 0.603
Sr: 0.868 0.868 0.397
Ac: 0.000 0.000 0.000
Mg: 0.594 0.594 0.218
Mg: 0.406 0.406 0.782
Sn: 0.737 0.737 0.789
Sn: 0.263 0.263 0.211

---

The following is a DFT calculation (PBE) of a relaxed AcTbMgSn2 crystal.

abc: 4.756 4.756 7.522
angles: 108.43 108.43 90.00
Sites, in units of the cell vectors:
Ac: 0.000 0.000 0.000
Tb: 0.750 0.250 0.500
Mg: 0.250 0.750 0.500
Sn: 0.610 0.610 0.220
Sn: 0.390 0.390 0.780

---

The following is a DFT calculation (PBE) of a relaxed Ac2Mg4Tl3Sn crystal.

abc: 4.872 4.872 11.902
angles: 90.00 90.00 90.00
Sites, in units of the cell vectors:
Ac: 0.500 0.000 0.254
Ac: 0.000 0.500 0.746
Mg: 0.500 0.500 0.000
Mg: 0.000 0.000 0.000
Mg: 0.500 0.000 0.633
Mg: 0.000 0.500 0.367
Tl: 0.000 0.000 0.500
Tl: 0.500 0.000 0.863
Tl: 0.000 0.500 0.137
Sn: 0.500 0.500 0.500

---

The following is a DFT calculation (PBE) of a relaxed Ac2Mg4TlSn3 crystal.

abc: 4.866 4.866 11.853
angles: 90.00 90.00 90.00
Sites, in units of the cell vectors:
Ac: 0.500 0.000 0.259
Ac: 0.000 0.500 0.741
Mg: 0.500 0.500 0.000
Mg: 0.000 0.000 0.000
Mg: 0.500 0.000 0.628
Mg: 0.000 0.500 0.372
Tl: 0.500 0.500 0.500
Sn: 0.000 0.000 0.500
Sn: 0.500 0.000 0.861
Sn: 0.000 0.500 0.139

---

The following is a DFT calculation (PBE) of a relaxed AcTmMgSn crystal.

abc: 5.520 5.520 5.520
angles: 60.00 60.00 60.00
Sites, in units of the cell vectors:
Mg: 0.750 0.750 0.750
Ac: 0.500 0.500 0.500
Tm: 0.000 0.000 0.000
Sn: 0.250 0.250 0.250

---

The following is a DFT calculation (PBE) of a relaxed AcYMgSn2 crystal.

abc: 4.752 4.752 7.509
angles: 108.44 108.44 90.00
Sites, in units of the cell vectors:
Ac: 0.000 0.000 0.000
Y: 0.250 0.750 0.500
Mg: 0.750 0.250 0.500
Sn: 0.610 0.610 0.220
Sn: 0.390 0.390 0.780

---

no.,size of the total moment (μB per formula unit),DFT formation energy (eV per atom),DOS(E_F) (states/eV per atom)
1,0.000,-0.39,0.532
2,0.000,-0.59,0.260
3,0.000,-0.30,0.413
4,0.000,-0.41,0.301
5,0.000,-0.31,0.928
6,0.000,-0.60,0.272